Record 1
! PBE SrTiReSi2, relaxed; values from VASP
! ΔE_f (raw) ... 2549.5 meV per atom
! Crystal system ... tetragonal
! Space group ... P4/mmm
! DFT total energy ... -20.124 eV/f.u.
! D(E_F) ... 1.345 states/eV/atom
&SYSTEM
  ibrav = 0, nat = 5, ntyp = 4
/
ATOMIC_SPECIES
Sr 87.62 Sr.upf
Ti 47.87 Ti.upf
Re 186.21 Re.upf
Si 28.09 Si.upf
ATOMIC_POSITIONS angstrom
Sr 0.000 0.000 0.000
Ti 2.531 2.531 2.404
Re 0.000 0.000 2.404
Si 0.000 2.531 0.000
Si 2.531 0.000 0.000
CELL_PARAMETERS angstrom
5.062 0.000 0.000
0.000 5.062 0.000
0.000 0.000 4.807

***

Record 2
! PBE TaRe2Si4, relaxed; values from VASP
! ΔE_f (raw) ... 914.4 meV per atom
! Crystal system ... tetragonal
! Space group ... I4/mmm
! DFT total energy ... -52.040 eV/f.u.
! D(E_F) ... 0.895 states/eV/atom
&SYSTEM
  ibrav = 0, nat = 7, ntyp = 3
/
ATOMIC_SPECIES
Ta 180.95 Ta.upf
Re 186.21 Re.upf
Si 28.09 Si.upf
ATOMIC_POSITIONS angstrom
Ta 0.000 0.000 0.000
Re 0.000 0.000 4.919
Re 0.000 0.000 7.394
Si 2.329 0.000 0.000
Si 0.000 0.000 2.547
Si 0.000 2.329 0.000
Si 0.000 0.000 9.766
CELL_PARAMETERS angstrom
-2.329 2.329 6.157
2.329 -2.329 6.157
2.329 2.329 -6.157

***

Record 3
! PBE Ta2ReSi, relaxed; values from VASP
! ΔE_f (raw) ... -196.7 meV per atom
! Crystal system ... orthorhombic
! Space group ... Cmmm
! DFT total energy ... -42.363 eV/f.u.
! D(E_F) ... 0.785 states/eV/atom
&SYSTEM
  ibrav = 0, nat = 4, ntyp = 3
/
ATOMIC_SPECIES
Ta 180.95 Ta.upf
Re 186.21 Re.upf
Si 28.09 Si.upf
ATOMIC_POSITIONS angstrom
Ta 1.398 1.863 0.000
Ta 1.398 -1.863 0.000
Re 0.000 0.000 1.549
Si 2.795 0.000 1.549
CELL_PARAMETERS angstrom
2.795 -3.726 0.000
2.795 3.726 0.000
0.000 0.000 3.098

***

Record 4
! PBE Ta2ReSi, relaxed; values from VASP
! ΔE_f (raw) ... -109.7 meV per atom
! Crystal system ... orthorhombic
! Space group ... Cmm2
! DFT total energy ... -42.015 eV/f.u.
! D(E_F) ... 0.505 states/eV/atom
&SYSTEM
  ibrav = 0, nat = 4, ntyp = 3
/
ATOMIC_SPECIES
Ta 180.95 Ta.upf
Re 186.21 Re.upf
Si 28.09 Si.upf
ATOMIC_POSITIONS angstrom
Ta 0.000 0.000 0.000
Ta 1.645 0.000 2.336
Re 1.645 0.000 6.217
Si 0.000 0.000 4.338
CELL_PARAMETERS angstrom
1.645 -2.341 0.000
1.645 2.341 0.000
0.000 0.000 8.382

***

Record 5
! PBE Ta2ReSi, relaxed; values from VASP
! ΔE_f (raw) ... 14.5 meV per atom
! Crystal system ... tetragonal
! Space group ... P4/mmm
! DFT total energy ... -41.518 eV/f.u.
! D(E_F) ... 1.176 states/eV/atom
&SYSTEM
  ibrav = 0, nat = 4, ntyp = 3
/
ATOMIC_SPECIES
Ta 180.95 Ta.upf
Re 186.21 Re.upf
Si 28.09 Si.upf
ATOMIC_POSITIONS angstrom
Ta 0.000 0.000 1.937
Ta 0.000 0.000 6.222
Re 1.404 1.404 4.080
Si 1.404 1.404 0.000
CELL_PARAMETERS angstrom
2.807 0.000 0.000
0.000 2.807 0.000
0.000 0.000 8.160

***

Record 6
! PBE Ta2ReSi, relaxed; values from VASP
! ΔE_f (raw) ... -123.9 meV per atom
! Crystal system ... tetragonal
! Space group ... I-4m2
! DFT total energy ... -42.072 eV/f.u.
! D(E_F) ... 0.649 states/eV/atom
&SYSTEM
  ibrav = 0, nat = 4, ntyp = 3
/
ATOMIC_SPECIES
Ta 180.95 Ta.upf
Re 186.21 Re.upf
Si 28.09 Si.upf
ATOMIC_POSITIONS angstrom
Ta 0.000 0.000 0.000
Ta 0.000 1.915 2.191
Re 1.915 0.000 2.191
Si 0.000 0.000 4.382
CELL_PARAMETERS angstrom
-1.915 1.915 4.382
1.915 -1.915 4.382
1.915 1.915 -4.382